Entry from Alexandria via LeMat-Bulk: a relaxed Zr2Ti4In2O crystal (PBE).

Computed properties:
Formation energy without anion corrections = -0.710 eV/atom
Size of the total moment = 0.000 μB/atom
Total energy = -7.278 eV/atom

a b c (Å): 6.1176 6.1176 6.1176
angles (deg): 88.50 120.87 120.87
Element x y z (fractional)
Ti (0.5112, 0.2556, 0.2556)
Ti (0.4888, 0.7444, 0.7444)
Ti (0.0000, 0.2556, 0.7444)
Ti (0.0000, 0.7444, 0.2556)
In (0.5000, 0.2500, 0.7500)
In (0.5000, 0.7500, 0.2500)
Zr (0.0000, 0.2624, 0.2624)
Zr (0.0000, 0.7376, 0.7376)
O (0.0000, 0.0000, 0.0000)